Record 1
Entry from Alexandria via LeMat-Bulk: a relaxed Li2TiVO4 crystal (GGA+U).

Properties
- E: -7.254 eV per atom

CIF file:
```
data_Li2TiVO4
_space_group_name_H-M_alt 'I m m a'
_space_group_IT_number 74
_space_group_name_Hall '-I 2b 2'
_cell_length_a 5.937
_cell_length_b 5.965
_cell_length_c 8.543
_cell_angle_alpha 90.00
_cell_angle_beta 90.00
_cell_angle_gamma 90.00
loop_
_atom_site_label
_atom_site_type_symbol
_atom_site_fract_x
_atom_site_fract_y
_atom_site_fract_z
Li1 Li 0.000 0.000 0.000
Li2 Li 0.250 0.250 0.250
Ti1 Ti 0.250 0.250 0.750
V1 V 0.000 0.000 0.500
O1 O 0.000 0.013 0.748
O2 O 0.247 0.250 0.517
```



Record 2
Entry from Alexandria via LeMat-Bulk: a relaxed LiTiVO5 crystal (GGA+U).

Properties
- E: -7.568 eV per atom

CIF file:
```
data_LiTiVO5
_space_group_name_H-M_alt 'C m m e'
_space_group_IT_number 67
_space_group_name_Hall '-C 2a 2'
_cell_length_a 9.237
_cell_length_b 9.552
_cell_length_c 4.694
_cell_angle_alpha 90.00
_cell_angle_beta 90.00
_cell_angle_gamma 90.00
loop_
_atom_site_label
_atom_site_type_symbol
_atom_site_fract_x
_atom_site_fract_y
_atom_site_fract_z
Li1 Li 0.250 0.250 0.000
Ti1 Ti 0.250 0.000 0.500
V1 V 0.000 0.250 0.380
O1 O 0.000 0.250 0.730
O2 O 0.142 0.117 0.274
```



Record 3
Entry from Alexandria via LeMat-Bulk: a relaxed Li2TiVO4 crystal (GGA+U).

Properties
- E: -7.245 eV per atom

CIF file:
```
data_Li2TiVO4
_space_group_name_H-M_alt 'I -4 m 2'
_space_group_IT_number 119
_space_group_name_Hall 'I -4 -2'
_cell_length_a 4.132
_cell_length_b 4.132
_cell_length_c 8.711
_cell_angle_alpha 90.00
_cell_angle_beta 90.00
_cell_angle_gamma 90.00
loop_
_atom_site_label
_atom_site_type_symbol
_atom_site_fract_x
_atom_site_fract_y
_atom_site_fract_z
Li1 Li 0.000 0.000 0.000
Li2 Li 0.000 0.500 0.250
Ti1 Ti 0.000 0.500 0.750
V1 V 0.000 0.000 0.500
O1 O 0.000 0.000 0.254
O2 O 0.000 0.500 0.523
```



Record 4
Entry from Alexandria via LeMat-Bulk: a relaxed Li2TiVO4 crystal (GGA+U).

Properties
- E: -7.264 eV per atom

CIF file:
```
data_Li2TiVO4
_space_group_name_H-M_alt 'P -1'
_space_group_IT_number 2
_cell_length_a 5.225
_cell_length_b 5.991
_cell_length_c 7.894
_cell_angle_alpha 100.85
_cell_angle_beta 109.06
_cell_angle_gamma 90.17
loop_
_space_group_symop_operation_xyz
'x,y,z'
'-x,-y,-z'
loop_
_atom_site_label
_atom_site_type_symbol
_atom_site_fract_x
_atom_site_fract_y
_atom_site_fract_z
Li1 Li 0.002 0.418 0.167
Li2 Li 0.004 0.931 0.168
Li3 Li 0.005 0.248 0.497
Ti1 Ti 0.496 0.316 0.835
Ti2 Ti 0.500 0.500 0.500
V1 V 0.499 0.178 0.165
V2 V 0.500 0.000 0.500
O1 O 0.262 0.869 0.011
O2 O 0.263 0.050 0.678
O3 O 0.265 0.225 0.341
O4 O 0.272 0.393 0.996
O5 O 0.273 0.524 0.664
O6 O 0.275 0.696 0.333
```



Record 5
Entry from Alexandria via LeMat-Bulk: a relaxed Li3TiV4O8 crystal (GGA+U).

Properties
- E: -7.301 eV per atom

CIF file:
```
data_Li3TiV4O8
_space_group_name_H-M_alt 'C 1 2/m 1'
_space_group_IT_number 12
_cell_length_a 10.461
_cell_length_b 6.117
_cell_length_c 6.063
_cell_angle_alpha 90.00
_cell_angle_beta 125.30
_cell_angle_gamma 90.00
loop_
_space_group_symop_operation_xyz
'x,y,z'
'-x,-y,-z'
'-x,y,-z'
'x,-y,z'
'x+1/2,y+1/2,z'
'-x+1/2,-y+1/2,-z'
'-x+1/2,y+1/2,-z'
'x+1/2,-y+1/2,z'
loop_
_atom_site_label
_atom_site_type_symbol
_atom_site_fract_x
_atom_site_fract_y
_atom_site_fract_z
Li1 Li 0.000 0.000 0.000
Li2 Li 0.250 0.250 0.000
Ti1 Ti 0.000 0.500 0.500
V1 V 0.000 0.000 0.500
V2 V 0.000 0.500 0.000
V3 V 0.250 0.250 0.500
O1 O 0.004 0.261 0.264
O2 O 0.234 0.500 0.729
O3 O 0.250 0.000 0.733
```



Record 6
Entry from Alexandria via LeMat-Bulk: a relaxed LiTiVO4 crystal (GGA+U).

Properties
- E: -7.765 eV per atom

CIF file:
```
data_LiTiVO4
_space_group_name_H-M_alt 'P 1'
_space_group_IT_number 1
_cell_length_a 5.278
_cell_length_b 6.014
_cell_length_c 7.896
_cell_angle_alpha 100.86
_cell_angle_beta 108.87
_cell_angle_gamma 91.76
loop_
_space_group_symop_operation_xyz
'x,y,z'
loop_
_atom_site_label
_atom_site_type_symbol
_atom_site_fract_x
_atom_site_fract_y
_atom_site_fract_z
Li1 Li 0.000 0.000 0.000
Li2 Li 0.001 0.178 0.678
Li3 Li 0.996 0.811 0.328
Ti1 Ti 0.486 0.905 0.671
Ti2 Ti 0.501 0.087 0.339
Ti3 Ti 0.536 0.262 0.013
V1 V 0.468 0.745 0.993
V2 V 0.496 0.582 0.334
V3 V 0.506 0.418 0.671
O1 O 0.277 0.800 0.181
O2 O 0.281 0.973 0.836
O3 O 0.289 0.113 0.508
O4 O 0.290 0.636 0.507
O5 O 0.299 0.436 0.843
O6 O 0.304 0.267 0.166
O7 O 0.700 0.723 0.827
O8 O 0.701 0.369 0.491
O9 O 0.708 0.548 0.161
O10 O 0.711 0.034 0.156
O11 O 0.714 0.895 0.493
O12 O 0.724 0.195 0.832
```